[1]
Here is a geometry-optimized TlSi2TcSb structure from Alexandria. Energies are from PBE-GGA.

Computed properties:
Uncorrected energy   -4.155 eV/atom
DOS(E_F)   0.8715 states/eV/atom
Uncorrected formation energy   1386 meV/atom
Total moment   2.53 μB per formula unit

```
TlSi2TcSb
1.0
5.268 0.000 0.000
0.000 5.090 0.000
0.000 0.000 5.268
Tc Si Sb Tl
1 2 1 1
Cartesian
0.000 2.545 0.000 Tc
0.000 0.000 2.634 Si
2.634 0.000 0.000 Si
0.000 0.000 0.000 Sb
2.634 2.545 2.634 Tl
```

=====

[2]
Here is a geometry-optimized LaMgI5 structure from Alexandria. Energies are from PBE-GGA.

Computed properties:
Uncorrected energy   -3.276 eV/atom
DOS(E_F)   0.0000 states/eV/atom
Uncorrected formation energy   -1237 meV/atom
Offset from the most stable computed form   0.072 eV/atom
Total moment   0.03 μB per formula unit

```
LaMgI5
1.0
15.003 0.000 0.000
0.000 8.825 -0.227
0.000 0.125 12.202
I La Mg
20 4 4
Cartesian
5.181 1.780 11.327 I
14.569 6.920 5.438 I
4.293 6.374 11.699 I
11.224 8.207 8.886 I
1.343 3.689 1.437 I
8.844 5.261 10.538 I
14.955 5.569 9.706 I
3.753 8.211 7.143 I
12.683 7.170 0.647 I
0.593 2.695 5.859 I
8.094 6.255 6.115 I
15.001 1.132 9.744 I
7.067 2.030 6.536 I
7.500 7.818 2.230 I
11.255 0.739 4.832 I
11.794 2.576 0.276 I
11.792 3.737 7.618 I
4.291 5.213 4.356 I
7.454 3.381 2.269 I
3.723 0.743 3.089 I
13.340 0.728 6.956 La
5.839 8.222 5.019 La
4.315 3.712 1.401 La
11.817 5.238 10.573 La
14.386 4.786 7.167 Mg
12.801 0.481 11.203 Mg
6.885 4.164 4.808 Mg
5.299 8.469 0.772 Mg
```

=====

[3]
Here is a geometry-optimized NiRu2 structure from Alexandria. Energies are from PBE-GGA.

Computed properties:
Uncorrected energy   -7.815 eV/atom
DOS(E_F)   2.1382 states/eV/atom
Energy of formation   296 meV/atom
Offset from the most stable computed form   0.248 eV/atom
Total moment   0.00 μB per formula unit

```
NiRu2
1.0
2.093 -3.626 0.000
2.093 3.626 0.000
0.000 0.000 5.190
Ru Ni
4 2
Cartesian
0.000 0.000 0.000 Ru
0.000 0.000 2.595 Ru
2.093 1.209 3.893 Ru
2.093 -1.209 1.298 Ru
2.093 1.209 1.298 Ni
2.093 -1.209 3.893 Ni
```

=====

no.,ρ (Mg/m³)
1,5.6
2,3.3
3,11.0